{"formula": "Tl5Sn12Bi3", "functional": "GGA-PBE", "state": "optimized geometry", "n_ef_per_ev_fu": 10.63, "formation_energy_ev_per_atom": 0.2204, "space_group": "Ia-3d, No. 230", "lattice": [[-11.466, 10.758, 3.885], [-4.431, -14.706, 5.139], [13.960, 4.205, 7.053]], "species": ["Sn", "Sn", "Sn", "Sn", "Sn", "Sn", "Bi", "Tl", "Bi", "Sn", "Sn", "Tl", "Sn", "Bi", "Bi", "Tl", "Sn", "Bi", "Sn", "Sn", "Sn", "Sn", "Sn", "Sn", "Tl", "Sn", "Tl", "Sn", "Bi", "Bi", "Tl", "Sn", "Bi", "Sn", "Bi", "Sn", "Tl", "Sn", "Sn", "Sn", "Sn", "Sn", "Tl", "Tl", "Tl", "Bi", "Sn", "Tl", "Sn", "Sn", "Sn", "Tl", "Sn", "Tl", "Sn", "Sn", "Sn", "Sn", "Tl", "Sn", "Sn", "Sn", "Tl", "Sn", "Tl", "Sn", "Sn", "Tl", "Tl", "Sn", "Tl", "Bi", "Sn", "Sn", "Sn", "Sn", "Bi", "Sn", "Tl", "Sn"], "fractional_positions": [[0.155, 0.726, 0.585], [0.345, 0.430, 0.071], [0.070, 0.141, 0.415], [0.415, 0.641, 0.070], [0.070, 0.929, 0.155], [0.071, 0.141, 0.226], [0.625, 0.250, 0.375], [0.500, 0.500, 0.500], [0.625, 0.375, 0.750], [0.845, 0.274, 0.415], [0.429, 0.155, 0.570], [0.500, 0.000, 0.500], [0.141, 0.071, 0.726], [0.125, 0.250, 0.875], [0.875, 0.125, 0.250], [0.000, 0.000, 0.500], [0.929, 0.859, 0.774], [0.250, 0.625, 0.875], [0.430, 0.085, 0.359], [0.226, 0.641, 0.071], [0.071, 0.930, 0.345], [0.774, 0.359, 0.929], [0.415, 0.774, 0.845], [0.274, 0.429, 0.859], [0.875, 0.250, 0.625], [0.774, 0.415, 0.345], [0.250, 0.375, 0.625], [0.141, 0.070, 0.915], [0.375, 0.750, 0.625], [0.375, 0.625, 0.250], [0.375, 0.250, 0.125], [0.655, 0.570, 0.929], [0.875, 0.750, 0.125], [0.570, 0.655, 0.429], [0.750, 0.375, 0.125], [0.345, 0.915, 0.774], [0.375, 0.125, 0.750], [0.915, 0.345, 0.274], [0.571, 0.726, 0.641], [0.085, 0.430, 0.859], [0.359, 0.585, 0.430], [0.585, 0.226, 0.155], [0.625, 0.875, 0.250], [0.125, 0.375, 0.250], [0.750, 0.625, 0.375], [0.750, 0.875, 0.625], [0.845, 0.571, 0.930], [0.875, 0.625, 0.750], [0.915, 0.570, 0.141], [0.585, 0.359, 0.930], [0.930, 0.859, 0.585], [0.125, 0.750, 0.375], [0.359, 0.774, 0.429], [0.500, 0.500, 0.000], [0.429, 0.274, 0.359], [0.226, 0.585, 0.655], [0.859, 0.929, 0.274], [0.085, 0.655, 0.726], [0.000, 0.500, 0.500], [0.726, 0.571, 0.141], [0.570, 0.915, 0.641], [0.655, 0.085, 0.226], [0.000, 0.500, 0.000], [0.930, 0.071, 0.845], [0.500, 0.000, 0.000], [0.726, 0.155, 0.085], [0.155, 0.429, 0.070], [0.750, 0.125, 0.875], [0.625, 0.750, 0.875], [0.274, 0.845, 0.915], [0.000, 0.000, 0.000], [0.250, 0.125, 0.375], [0.571, 0.845, 0.430], [0.641, 0.415, 0.570], [0.430, 0.345, 0.571], [0.859, 0.930, 0.085], [0.125, 0.875, 0.750], [0.929, 0.070, 0.655], [0.250, 0.875, 0.125], [0.641, 0.226, 0.571]]}